## SrAsCl2 (GGA-PBE)

Data for a relaxed SrAsCl2 crystal.

Cell: 6.1430 6.1430 5.5152 Å, 86.59 86.59 35.36°
Last column: nearest neighbours and their distance in Å.
Fractional coordinates of all 4 atoms:
Sr1 0.2500 0.2500 0.2500  4 Cl 2.92
As1 0.7500 0.7500 0.7500  2 Cl 2.55
Cl1 0.9170 0.9170 0.0247  1 As 2.55
Cl2 0.5830 0.5830 0.4753  1 As 2.55

Computed properties:
Total DFT energy (no corrections), eV/atom: -3.703
Offset from the most stable computed form, eV per atom: 0.000
Total magnetic moment, μB per formula unit: 0.0

=====

## Li3Cu2O4 (GGA-PBE)

Data for a relaxed Li3Cu2O4 crystal.

Cell: 5.2767 5.2767 4.6977 Å, 82.95 82.95 127.49°
Last column: nearest neighbours and their distance in Å.
Fractional coordinates of all 9 atoms:
Li1 0.4630 0.5370 0.5000  4 O 1.99-2.01
Li2 0.9652 0.0348 0.0000  4 O 2.00-2.04
Li3 0.0412 0.9588 0.5000  4 O 1.88-2.01
Cu1 0.7450 0.2550 0.5000  4 O 1.87-1.88
Cu2 0.2511 0.7489 0.0000  4 O 1.93-1.94
O1 0.6435 0.8779 0.7357  2 Cu 1.87-1.93, 3 Li 2.01-2.04
O2 0.3494 0.1236 0.7316  2 Cu 1.88-1.94, 3 Li 1.88-2.00
O3 0.8764 0.6506 0.2684  2 Cu 1.88-1.94, 3 Li 1.88-2.00
O4 0.1221 0.3565 0.2643  2 Cu 1.87-1.93, 3 Li 2.01-2.04

Computed properties:
Total DFT energy (no corrections), eV/atom: -4.998
Offset from the most stable computed form, eV per atom: 0.022
Total magnetic moment, μB per formula unit: 1.0

=====

## La5TmIn6 (GGA-PBE)

Data for a relaxed La5TmIn6 crystal.

Cell: 5.5409 9.6029 9.6029 Å, 120.24 106.79 106.79°
Last column: nearest neighbours and their distance in Å.
Fractional coordinates of all 12 atoms:
Tm1 0.0000 0.0000 0.0000  8 In 3.24-3.28
In1 0.2371 0.0769 0.3969  1 Tm 3.24, 7 La 3.34-3.48
In2 0.7629 0.6031 0.9231  1 Tm 3.24, 7 La 3.34-3.48
In3 0.7262 0.2259 0.2259  2 Tm 3.28, 6 La 3.42-3.50, 1 In 3.52
In4 0.2738 0.7741 0.7741  2 Tm 3.28, 6 La 3.42-3.50, 1 In 3.52
In5 0.2371 0.3969 0.0769  1 Tm 3.24, 7 La 3.34-3.48
In6 0.7629 0.9231 0.6031  1 Tm 3.24, 7 La 3.34-3.48
La1 0.5000 0.1763 0.8237  8 In 3.34-3.42
La2 0.0000 0.3371 0.6629  8 In 3.44-3.48, 2 La 3.85
La3 0.5000 0.5000 0.5000  8 In 3.36-3.50
La4 0.0000 0.6629 0.3371  8 In 3.44-3.48, 2 La 3.85
La5 0.5000 0.8237 0.1763  8 In 3.34-3.42

Computed properties:
Total DFT energy (no corrections), eV/atom: -4.294
Formation energy from the elements, eV per formula unit: -5.98
Total magnetic moment, μB per formula unit: 0.0

=====

## Pr2ScNi9 (GGA-PBE)

Data for a relaxed Pr2ScNi9 crystal.

Cell: 4.9495 4.9495 8.7951 Å, 73.66 73.66 60.00°
Last column: nearest neighbours and their distance in Å.
Fractional coordinates of all 12 atoms:
Pr1 0.8636 0.8636 0.4092  9 Ni 2.87-2.96
Pr2 0.1364 0.1364 0.5908  9 Ni 2.87-2.96
Sc1 0.0000 0.0000 0.0000  18 Ni 2.86-3.15
Ni1 0.6671 0.6671 0.9988  6 Ni 2.42-2.43
Ni2 0.3329 0.3329 0.0012  6 Ni 2.42-2.43
Ni3 0.5000 0.5000 0.5000  6 Ni 2.62
Ni4 0.4220 0.4220 0.2353  7 Ni 2.42-2.62
Ni5 0.9207 0.4220 0.2353  7 Ni 2.42-2.62
Ni6 0.4220 0.9207 0.2353  7 Ni 2.42-2.62
Ni7 0.5780 0.5780 0.7647  7 Ni 2.42-2.62
Ni8 0.5780 0.0793 0.7647  7 Ni 2.42-2.62
Ni9 0.0793 0.5780 0.7647  7 Ni 2.42-2.62

Computed properties:
Total DFT energy (no corrections), eV/atom: -5.950
Formation energy from the elements, eV per formula unit: -3.48
Total magnetic moment, μB per formula unit: 1.0

=====

## K3Ba (GGA-PBE)

Data for a relaxed K3Ba crystal.

Cell: 4.4485 4.4485 15.3378 Å, 90.00 90.00 113.33°
Last column: nearest neighbours and their distance in Å.
Fractional coordinates of all 4 atoms:
K1 0.5000 0.5000 0.7533  8 K 4.45-4.89, 2 Ba 4.50
K2 0.0000 0.0000 0.5000  10 K 4.45-4.89
K3 0.5000 0.5000 0.2467  8 K 4.45-4.89, 2 Ba 4.50
Ba1 0.0000 0.0000 0.0000  6 Ba 4.45-4.89, 4 K 4.50

Computed properties:
Total DFT energy (no corrections), eV/atom: -1.254
Formation energy from the elements, eV per formula unit: 0.20
Total magnetic moment, μB per formula unit: 0.0

=====

## InPOs (GGA-PBE)

Data for a relaxed InPOs crystal.

Cell: 4.3131 4.3131 4.3131 Å, 60.00 60.00 60.00°
Last column: nearest neighbours and their distance in Å.
Fractional coordinates of all 3 atoms:
In1 0.5000 0.5000 0.5000  4 Os 2.64
Os1 0.7500 0.7500 0.7500  4 In 2.64, 4 P 2.64
P1 0.0000 0.0000 0.0000  4 Os 2.64

Computed properties:
Total DFT energy (no corrections), eV/atom: -5.945
Formation energy from the elements, eV per formula unit: 1.54
Offset from the most stable computed form, eV per atom: 0.450
Total magnetic moment, μB per formula unit: 0.0

=====

## PmNdBi (GGA-PBE)

Data for a relaxed PmNdBi crystal.

Cell: 4.6286 4.6286 9.5913 Å, 103.96 103.96 90.00°
Last column: nearest neighbours and their distance in Å.
Fractional coordinates of all 6 atoms:
Pm1 0.0000 0.5000 0.0000  4 Pm 3.27, 4 Bi 3.40
Pm2 0.5000 0.0000 0.0000  4 Pm 3.27, 4 Bi 3.40
Nd1 0.1782 0.1782 0.3564  5 Bi 3.31-3.35
Nd2 0.8218 0.8218 0.6436  5 Bi 3.31-3.35
Bi1 0.3616 0.3616 0.7231  5 Nd 3.31-3.35, 4 Pm 3.40
Bi2 0.6384 0.6384 0.2769  5 Nd 3.31-3.35, 4 Pm 3.40

Computed properties:
Total DFT energy (no corrections), eV/atom: -5.137
Formation energy from the elements, eV per formula unit: -2.01
Offset from the most stable computed form, eV per atom: 0.000
Total magnetic moment, μB per formula unit: 0.0

=====

## Pu2Si4GeIr3 (GGA-PBE)

Data for a relaxed Pu2Si4GeIr3 crystal.

Cell: 4.2033 4.2033 9.8379 Å, 90.00 90.00 90.00°
Last column: nearest neighbours and their distance in Å.
Fractional coordinates of all 10 atoms:
Pu1 0.5000 0.0000 0.2477  8 Si 3.17-3.22, 6 Ir 3.22-3.25, 2 Ge 3.25
Pu2 0.0000 0.5000 0.7523  8 Si 3.17-3.22, 6 Ir 3.22-3.25, 2 Ge 3.25
Si1 0.5000 0.5000 0.0000  4 Ir 2.42
Si2 0.0000 0.0000 0.0000  4 Ir 2.42
Si3 0.5000 0.0000 0.6398  3 Ir 2.34-2.51, 2 Ge 2.51
Si4 0.0000 0.5000 0.3602  3 Ir 2.34-2.51, 2 Ge 2.51
Ge1 0.5000 0.5000 0.5000  4 Si 2.51
Ir1 0.0000 0.0000 0.5000  4 Si 2.51
Ir2 0.5000 0.0000 0.8774  5 Si 2.34-2.42
Ir3 0.0000 0.5000 0.1226  5 Si 2.34-2.42

Computed properties:
Total DFT energy (no corrections), eV/atom: -8.807
Total magnetic moment, μB per formula unit: 10.1

=====

## LaPrMgCd (GGA-PBE)

Data for a relaxed LaPrMgCd crystal.

Cell: 5.5413 5.5413 5.5413 Å, 60.00 60.00 60.00°
Last column: nearest neighbours and their distance in Å.
Fractional coordinates of all 4 atoms:
Pr1 0.5000 0.5000 0.5000  4 Cd 3.39, 4 Mg 3.39
Mg1 0.7500 0.7500 0.7500  4 Pr 3.39, 4 La 3.39
Cd1 0.2500 0.2500 0.2500  4 La 3.39, 4 Pr 3.39
La1 0.0000 0.0000 0.0000  4 Mg 3.39, 4 Cd 3.39

Computed properties:
Total DFT energy (no corrections), eV/atom: -3.271
Formation energy from the elements, eV per formula unit: -0.87
Total magnetic moment, μB per formula unit: 0.0

=====

## PaCu2BiO6 (GGA-PBE)

Data for a relaxed PaCu2BiO6 crystal.

Cell: 5.8481 7.1328 7.1328 Å, 91.65 86.06 86.06°
Last column: nearest neighbours and their distance in Å.
Fractional coordinates of all 20 atoms:
Pa1 0.2500 0.3085 0.6915  6 O 2.17-2.25
Pa2 0.7500 0.6915 0.3085  6 O 2.17-2.25
Cu1 0.1894 0.7904 0.6023  4 O 1.93-1.98
Cu2 0.3106 0.3977 0.2096  4 O 1.93-1.98
Cu3 0.8106 0.2096 0.3977  4 O 1.93-1.98
Cu4 0.6894 0.6023 0.7904  4 O 1.93-1.98
Bi1 0.2500 0.8797 0.1203  4 O 2.16-2.33
Bi2 0.7500 0.1203 0.8797  4 O 2.16-2.33
O1 0.1107 0.0339 0.7318  1 Cu 1.96
O2 0.3893 0.2682 0.9661  1 Cu 1.96
O3 0.8893 0.9661 0.2682  1 Cu 1.96
O4 0.6107 0.7318 0.0339  1 Cu 1.96
O5 0.4041 0.8408 0.3849  1 Cu 1.98, 1 Bi 2.16
O6 0.0959 0.6151 0.1592  1 Cu 1.98, 1 Bi 2.16
O7 0.5959 0.1592 0.6151  1 Cu 1.98, 1 Bi 2.16
O8 0.9041 0.3849 0.8408  1 Cu 1.98, 1 Bi 2.16
O9 0.8812 0.6945 0.5864  2 Cu 1.93-1.98
O10 0.6188 0.4136 0.3055  2 Cu 1.93-1.98
O11 0.1188 0.3055 0.4136  2 Cu 1.93-1.98
O12 0.3812 0.5864 0.6945  2 Cu 1.93-1.98

Computed properties:
Total DFT energy (no corrections), eV/atom: -6.779
Total magnetic moment, μB per formula unit: 2.0